A plane-wave DFT calculation with PBE-GGA was carried out for crystalline YEr9Tm2 at its relaxed geometry.

As for the density of states at the Fermi level: 19.91 states/eV per cell. The total energy is -55.87 eV for the cell shown. For the energy of formation, the calculation gives 0.0500 eV/atom. The energy relative to the lowest polymorph listed for this composition comes out at 24 meV/atom.

The structure in POSCAR format:
```
YEr9Tm2
1.0
3.469 0.000 0.000
0.000 11.083 0.000
0.000 -5.541 9.598
Er Tm Y
9 2 1
Cartesian
0.000 2.771 4.799 Er
1.735 -2.590 7.894 Er
0.000 -2.771 4.799 Er
1.735 2.952 1.704 Er
0.000 5.541 0.000 Er
1.735 2.590 7.894 Er
1.735 8.131 1.704 Er
1.735 5.541 6.190 Er
1.735 0.000 3.408 Er
0.000 0.000 6.399 Tm
0.000 5.541 3.199 Tm
0.000 0.000 0.000 Y
```



A plane-wave DFT calculation with PBE-GGA was carried out for crystalline Y4Er7Tm at its relaxed geometry.

As for the density of states at the Fermi level: 21.02 states/eV per cell. The total energy is -58.68 eV for the cell shown. For the energy of formation, the calculation gives 0.2991 eV/atom.

The structure in POSCAR format:
```
Y4Er7Tm
1.0
-3.348 -2.492 -4.072
-4.378 -9.317 5.127
-6.340 2.013 -0.194
Tm Y Er
1 4 7
Cartesian
0.000 0.000 0.000 Tm
-10.578 -6.608 0.217 Y
-6.291 -2.670 -1.543 Y
-7.775 -7.126 2.404 Y
-3.488 -3.188 0.644 Y
-9.669 -3.639 -2.348 Er
-4.397 -6.157 3.208 Er
-9.847 -9.581 1.436 Er
-8.279 -4.009 0.910 Er
-5.787 -5.787 -0.050 Er
-1.674 -1.246 -2.036 Er
-4.219 -0.215 -0.575 Er
```



Q: The highest energy of formation belongs to which entry?
A: Y4Er7Tm



Q: Number 2 is which compound?
A: Y4Er7Tm